VASP calculation (PBE) on crystalline CeScP2 at its relaxed geometry.

Cell and atoms, written as POSCAR:
```
CeScP2
1.0
3.938 0.000 0.000
1.969 3.410 0.000
1.969 1.137 6.353
Sc P Ce
1 2 1
Direct
0.000 0.000 0.000
0.256 0.256 0.231
0.744 0.744 0.769
0.500 0.500 0.500
```

Properties
volume = 85 Å³/cell
DFT formation energy = -1.479 eV per atom

VASP calculation (PBE) on crystalline CeSc3P4 at its relaxed geometry.

Cell and atoms, written as POSCAR:
```
CeSc3P4
1.0
3.824 0.000 0.000
-1.912 3.312 0.000
0.000 0.000 25.237
Sc P Ce
6 8 2
Direct
0.000 0.000 0.000
0.000 0.000 0.500
0.333 0.667 0.882
0.667 0.333 0.118
0.667 0.333 0.382
0.333 0.667 0.618
0.667 0.333 0.940
0.333 0.667 0.060
0.333 0.667 0.440
0.667 0.333 0.560
0.000 0.000 0.821
0.000 0.000 0.179
0.000 0.000 0.321
0.000 0.000 0.679
0.667 0.333 0.750
0.333 0.667 0.250
```

Properties
volume = 320 Å³/cell
DFT formation energy = -1.457 eV per atom

VASP calculation (PBE) on crystalline Ce3ScP4 at its relaxed geometry.

Cell and atoms, written as POSCAR:
```
Ce3ScP4
1.0
6.956 0.061 0.000
-2.381 6.521 0.000
0.000 0.000 8.029
Sc P Ce
2 8 6
Direct
0.750 0.000 0.877
0.250 0.000 0.123
0.993 0.243 0.632
0.500 0.237 0.882
0.493 0.243 0.368
0.000 0.237 0.118
0.000 0.763 0.882
0.507 0.757 0.632
0.500 0.763 0.118
0.007 0.757 0.368
0.750 0.000 0.372
0.250 0.000 0.628
0.750 0.500 0.628
0.750 0.500 0.123
0.250 0.500 0.372
0.250 0.500 0.877
```

Properties
volume = 365 Å³/cell
DFT formation energy = -1.467 eV per atom